Entry 1:
Material: Dy3ZnCo
Method: DFT, PBE
State: optimized geometry

Unit cell a=9.347 b=6.236 c=9.146 alpha=90.00 beta=120.66 gamma=90.00
Space group C2/m (No. 12)
One atom of each set of equivalent atoms:
Dy: 0.080 0.000 0.286 x4
Dy: 0.199 0.500 0.898 x4
Dy: 0.206 0.500 0.286 x4
Zn: 0.000 0.304 0.500 x4
Co: 0.000 0.250 0.000 x4

- energy of formation (kJ/mol of atoms) = -20.3
- density (g cm⁻³) = 8.862
- energy relative to the lowest polymorph listed for this composition (meV/atom) = 0
- spin magnetization (μB/f.u.) = 0.000


Entry 2:
Material: Dy12ZnCo6
Method: DFT, PBE
State: optimized geometry

Unit cell a=9.605 b=9.605 c=9.605 alpha=90.00 beta=90.00 gamma=90.00
Space group Im-3 (No. 204)
One atom of each set of equivalent atoms:
Dy: 0.000 0.194 0.302 x24
Zn: 0.000 0.000 0.000 x2
Co: 0.000 0.386 0.500 x12

- energy of formation (kJ/mol of atoms) = -19.4
- density (g cm⁻³) = 8.879
- energy relative to the lowest polymorph listed for this composition (meV/atom) = 0
- spin magnetization (μB/f.u.) = 0.001


Entry 3:
Material: DyZn10Co2
Method: DFT, PBE
State: optimized geometry

Unit cell a=4.952 b=12.474 c=12.669 alpha=90.00 beta=90.00 gamma=90.00
Space group Fmmm (No. 69)
One atom of each set of equivalent atoms:
Dy: 0.000 0.000 0.000 x4
Zn: 0.000 0.112 0.394 x16
Zn: 0.000 0.181 0.167 x16
Zn: 0.250 0.000 0.250 x8
Co: 0.250 0.250 0.000 x8

- energy of formation (kJ/mol of atoms) = -15.7
- density (g cm⁻³) = 7.932
- spin magnetization (μB/f.u.) = 2.343


Entry 4:
Material: DyZn8Co2
Method: DFT, PBE
State: optimized geometry

Unit cell a=6.179 b=6.179 c=5.204 alpha=90.00 beta=90.00 gamma=90.00
Space group P4/mmm (No. 123)
One atom of each set of equivalent atoms:
Dy: 0.000 0.000 0.000 x1
Zn: 0.289 0.289 0.259 x8
Co: 0.000 0.500 0.500 x2

- energy of formation (kJ/mol of atoms) = 22.4
- density (g cm⁻³) = 6.717
- spin magnetization (μB/f.u.) = 1.127


Entry 5:
Material: Dy3Zn4Co2
Method: DFT, PBE
State: optimized geometry

Unit cell a=10.763 b=4.143 c=8.367 alpha=90.00 beta=115.00 gamma=90.00
Space group C2/m (No. 12)
One atom of each set of equivalent atoms:
Dy: 0.000 0.000 0.000 x2
Dy: 0.187 0.500 0.640 x4
Zn: 0.027 0.000 0.363 x4
Zn: 0.217 0.500 0.059 x4
Co: 0.100 0.500 0.261 x4

- energy of formation (kJ/mol of atoms) = -26.9
- density (g cm⁻³) = 8.516
- spin magnetization (μB/f.u.) = 0.000


Entry 6:
Material: Dy3Zn3Co2
Method: DFT, PBE
State: optimized geometry

Unit cell a=7.257 b=15.514 c=5.448 alpha=90.00 beta=90.00 gamma=90.00
Space group Pnma (No. 62)
One atom of each set of equivalent atoms:
Dy: 0.036 0.107 0.113 x8
Dy: 0.167 0.250 0.642 x4
Zn: 0.168 0.034 0.600 x8
Zn: 0.176 0.750 0.628 x4
Co: 0.127 0.613 0.378 x8

- energy of formation (kJ/mol of atoms) = -28.0
- density (g cm⁻³) = 8.681
- spin magnetization (μB/f.u.) = 0.000


Entry 7:
Material: Dy12ZnCo5
Method: DFT, PBE
State: optimized geometry

Unit cell a=9.291 b=9.363 c=9.767 alpha=90.00 beta=90.00 gamma=90.00
Space group Immm (No. 71)
One atom of each set of equivalent atoms:
Dy: 0.000 0.188 0.224 x8
Dy: 0.189 0.500 0.176 x8
Dy: 0.219 0.320 0.500 x8
Zn: 0.000 0.000 0.500 x2
Co: 0.000 0.000 0.000 x2
Co: 0.000 0.346 0.000 x4
Co: 0.000 0.500 0.386 x4

- energy of formation (kJ/mol of atoms) = -18.6
- density (g cm⁻³) = 9.029
- spin magnetization (μB/f.u.) = 0.000


Entry 8:
Material: DyZn2Co4
Method: DFT, PBE
State: optimized geometry

Unit cell a=6.307 b=6.307 c=4.947 alpha=90.00 beta=90.00 gamma=90.00
Space group I4/mmm (No. 139)
One atom of each set of equivalent atoms:
Dy: 0.000 0.000 0.000 x2
Zn: 0.000 0.500 0.250 x4
Co: 0.183 0.183 0.500 x8

- energy of formation (kJ/mol of atoms) = -7.8
- density (g cm⁻³) = 8.929
- spin magnetization (μB/f.u.) = 5.167


Entry 9:
Material: Dy4Zn3Co
Method: DFT, PBE
State: optimized geometry

Unit cell a=3.493 b=3.493 c=14.207 alpha=90.00 beta=90.00 gamma=90.00
Space group P4/mmm (No. 123)
One atom of each set of equivalent atoms:
Dy: 0.000 0.000 0.113 x2
Dy: 0.000 0.000 0.372 x2
Zn: 0.500 0.500 0.245 x2
Zn: 0.500 0.500 0.500 x1
Co: 0.500 0.500 0.000 x1

- energy of formation (kJ/mol of atoms) = -28.7
- density (g cm⁻³) = 8.670
- spin magnetization (μB/f.u.) = 0.507


Entry 10:
Material: Dy6ZnCo2
Method: DFT, PBE
State: optimized geometry

Unit cell a=9.248 b=9.497 c=9.849 alpha=90.00 beta=90.00 gamma=90.00
Space group Immm (No. 71)
One atom of each set of equivalent atoms:
Dy: 0.000 0.195 0.239 x8
Dy: 0.187 0.500 0.175 x8
Dy: 0.221 0.321 0.500 x8
Zn: 0.000 0.000 0.000 x2
Zn: 0.000 0.000 0.500 x2
Co: 0.000 0.334 0.000 x4
Co: 0.000 0.500 0.385 x4

- energy of formation (kJ/mol of atoms) = -20.5
- density (g cm⁻³) = 8.893
- spin magnetization (μB/f.u.) = 0.000


Entry 11:
Material: DyZn12Co4
Method: DFT, PBE
State: optimized geometry

Unit cell a=8.381 b=8.381 c=8.381 alpha=90.00 beta=90.00 gamma=90.00
Space group Im-3 (No. 204)
One atom of each set of equivalent atoms:
Dy: 0.000 0.000 0.000 x2
Zn: 0.000 0.166 0.345 x24
Co: 0.250 0.250 0.250 x8

- energy of formation (kJ/mol of atoms) = 28.1
- density (g cm⁻³) = 6.674
- spin magnetization (μB/f.u.) = 0.001


Entry 12:
Material: DyZnCo
Method: DFT, PBE
State: optimized geometry

Unit cell a=11.794 b=3.919 c=6.938 alpha=90.00 beta=90.00 gamma=90.00
Space group Pmma (No. 51)
One atom of each set of equivalent atoms:
Dy: 0.044 0.000 0.248 x4
Dy: 0.250 0.000 0.864 x2
Zn: 0.135 0.500 0.578 x4
Zn: 0.250 0.500 0.212 x2
Co: 0.090 0.500 0.952 x4
Co: 0.250 0.000 0.448 x2

- energy of formation (kJ/mol of atoms) = -27.1
- density (g cm⁻³) = 8.913
- spin magnetization (μB/f.u.) = 0.000


Entry 13:
Material: DyZn5Co2
Method: DFT, PBE
State: optimized geometry

Unit cell a=3.867 b=7.290 c=9.011 alpha=90.00 beta=90.00 gamma=90.00
Space group Immm (No. 71)
One atom of each set of equivalent atoms:
Dy: 0.000 0.000 0.000 x2
Zn: 0.000 0.183 0.340 x8
Zn: 0.000 0.500 0.000 x2
Co: 0.000 0.500 0.264 x4

- energy of formation (kJ/mol of atoms) = -12.2
- density (g cm⁻³) = 7.940
- spin magnetization (μB/f.u.) = 0.001


Entry 14:
Material: Dy3ZnCo
Method: DFT, PBE
State: optimized geometry

Unit cell a=5.463 b=6.249 c=8.128 alpha=71.07 beta=79.16 gamma=64.20
Space group P-1 (No. 2)
One atom of each set of equivalent atoms:
Dy: 0.022 0.174 0.123 x2
Dy: 0.356 0.191 0.678 x2
Dy: 0.361 0.469 0.235 x2
Zn: 0.113 0.764 0.512 x2
Co: 0.462 0.828 0.986 x2

- energy of formation (kJ/mol of atoms) = -20.0
- density (g cm⁻³) = 8.612
- energy relative to the lowest polymorph listed for this composition (meV/atom) = 3
- spin magnetization (μB/f.u.) = 0.000


Entry 15:
Material: Dy11Zn9Co4
Method: DFT, PBE
State: optimized geometry

Unit cell a=13.609 b=20.404 c=3.601 alpha=90.00 beta=90.00 gamma=90.00
Space group Cmmm (No. 65)
One atom of each set of equivalent atoms:
Dy: 0.000 0.000 0.000 x2
Dy: 0.000 0.168 0.000 x4
Dy: 0.000 0.370 0.000 x4
Dy: 0.203 0.500 0.000 x4
Dy: 0.249 0.167 0.000 x8
Zn: 0.000 0.500 0.500 x2
Zn: 0.104 0.265 0.500 x8
Zn: 0.143 0.073 0.500 x8
Co: 0.145 0.404 0.500 x8

- energy of formation (kJ/mol of atoms) = -29.9
- density (g cm⁻³) = 8.675
- spin magnetization (μB/f.u.) = 0.000


Entry 16:
Material: DyZnCo
Method: DFT, PBE
State: optimized geometry

Unit cell a=5.026 b=5.439 c=7.880 alpha=90.00 beta=90.00 gamma=90.00
Space group Imma (No. 74)
One atom of each set of equivalent atoms:
Dy: 0.000 0.250 0.121 x4
Zn: 0.000 0.000 0.500 x4
Co: 0.000 0.250 0.764 x4

- energy of formation (kJ/mol of atoms) = -2.4
- density (g cm⁻³) = 8.845
- spin magnetization (μB/f.u.) = 0.963


Entry 17:
Material: DyZn8Co4
Method: DFT, PBE
State: optimized geometry

Unit cell a=8.628 b=8.628 c=4.987 alpha=90.00 beta=90.00 gamma=90.00
Space group I4/mmm (No. 139)
One atom of each set of equivalent atoms:
Dy: 0.000 0.000 0.000 x2
Zn: 0.000 0.225 0.500 x8
Zn: 0.000 0.339 0.000 x8
Co: 0.250 0.250 0.250 x8

- energy of formation (kJ/mol of atoms) = -15.9
- density (g cm⁻³) = 8.243
- spin magnetization (μB/f.u.) = 4.032


Entry 18:
Material: Dy12ZnCo6
Method: DFT, PBE
State: optimized geometry

Unit cell a=13.5333 b=13.5333 c=8.6377 alpha=90.00 beta=90.00 gamma=120.00
Space group R-3 (No. 148, hexagonal axes)
One atom of each set of equivalent atoms:
Dy: 0.0386 0.2588 0.4272 x18
Dy: 0.0621 0.1822 0.8325 x18
Zn: 0.0000 0.0000 0.5000 x3
Co: 0.0775 0.5021 0.7901 x18

- energy of formation (kJ/mol of atoms) = -7.5
- density (g cm⁻³) = 8.614
- energy relative to the lowest polymorph listed for this composition (meV/atom) = 123
- spin magnetization (μB/f.u.) = 0.000


Entry 19:
Material: DyZnCo
Method: DFT, PBE
State: optimized geometry

Unit cell a=4.2005 b=4.2005 c=3.6025 alpha=90.00 beta=90.00 gamma=120.00
Space group P-6m2 (No. 187)
One atom of each set of equivalent atoms:
Dy: 0.0000 0.0000 0.0000 x1
Zn: 0.3333 0.6667 0.5000 x1
Co: 0.6667 0.3333 0.5000 x1

- energy of formation (kJ/mol of atoms) = -18.9
- density (g cm⁻³) = 8.653
- spin magnetization (μB/f.u.) = 0.241